1.
Cd2In2Pd3: optimized geometry, GGA-PBE.

Geometry as CIF:
```
data_Cd2In2Pd3
_chemical_formula_sum 'Cd2 In2 Pd3'
_symmetry_space_group_name_H-M 'P -1'
_symmetry_Int_Tables_number 2
_cell_length_a 4.548
_cell_length_b 4.642
_cell_length_c 7.273
_cell_angle_alpha 108.37
_cell_angle_beta 108.06
_cell_angle_gamma 90.46
loop_
_symmetry_equiv_pos_as_xyz
'x,y,z'
'-x,-y,-z'
loop_
_atom_site_label
_atom_site_fract_x
_atom_site_fract_y
_atom_site_fract_z
_atom_site_occupancy
Cd1 0.118 0.118 0.236 1
In1 0.376 0.375 0.753 1
Pd1 0.000 0.500 0.000 1
Pd2 0.244 0.744 0.488 1
```

- formation energy (eV per atom) = -0.40
- polymorph energy (0 for the lowest one) (kJ per mole of atoms) = 2.6
- crystal system = triclinic
- energy (eV per cell) = -25.69
- total magnetic moment (μB/f.u.) = 0.00

---

2.
Cd2In3Pd4: optimized geometry, GGA-PBE.

Geometry as CIF:
```
data_Cd2In3Pd4
_chemical_formula_sum 'Cd8 In12 Pd16'
_symmetry_space_group_name_H-M 'C m c e'
_symmetry_Int_Tables_number 64
_symmetry_space_group_name_Hall '-C 2ac 2'
_cell_length_a 5.782
_cell_length_b 17.536
_cell_length_c 7.087
_cell_angle_alpha 90.00
_cell_angle_beta 90.00
_cell_angle_gamma 90.00
loop_
_atom_site_label
_atom_site_fract_x
_atom_site_fract_y
_atom_site_fract_z
_atom_site_occupancy
Cd1 0.000 0.089 0.094 1
In1 0.000 0.000 0.500 1
In2 0.250 0.237 0.750 1
Pd1 0.000 0.158 0.454 1
Pd2 0.250 0.080 0.750 1
```

- formation energy (eV per atom) = -0.34
- crystal system = orthorhombic
- energy (eV per cell) = -135.52
- total magnetic moment (μB/f.u.) = 0.00

---

3.
Cd3InPd: optimized geometry, GGA-PBE.

Geometry as CIF:
```
data_Cd3InPd
_chemical_formula_sum 'Cd12 In4 Pd4'
_symmetry_space_group_name_H-M 'C 1 2/m 1'
_symmetry_Int_Tables_number 12
_cell_length_a 10.636
_cell_length_b 8.176
_cell_length_c 7.145
_cell_angle_alpha 90.00
_cell_angle_beta 128.69
_cell_angle_gamma 90.00
loop_
_symmetry_equiv_pos_as_xyz
'x,y,z'
'-x,-y,-z'
'-x,y,-z'
'x,-y,z'
'x+1/2,y+1/2,z'
'-x+1/2,-y+1/2,-z'
'-x+1/2,y+1/2,-z'
'x+1/2,-y+1/2,z'
loop_
_atom_site_label
_atom_site_fract_x
_atom_site_fract_y
_atom_site_fract_z
_atom_site_occupancy
Cd1 0.058 0.000 0.256 1
Cd2 0.222 0.180 0.761 1
In1 0.082 0.500 0.370 1
Pd1 0.236 0.500 0.867 1
```

- formation energy (eV per atom) = -0.11
- polymorph energy (0 for the lowest one) (kJ per mole of atoms) = 0.0
- crystal system = monoclinic
- energy (eV per cell) = -44.91
- total magnetic moment (μB/f.u.) = 0.00

---

4.
Cd4InPd5: optimized geometry, GGA-PBE.

Geometry as CIF:
```
data_Cd4InPd5
_chemical_formula_sum 'Cd4 In1 Pd5'
_symmetry_space_group_name_H-M 'P 4/m m m'
_symmetry_Int_Tables_number 123
_symmetry_space_group_name_Hall '-P 4 2'
_cell_length_a 3.312
_cell_length_b 3.312
_cell_length_c 16.057
_cell_angle_alpha 90.00
_cell_angle_beta 90.00
_cell_angle_gamma 90.00
loop_
_atom_site_label
_atom_site_fract_x
_atom_site_fract_y
_atom_site_fract_z
_atom_site_occupancy
Cd1 0.000 0.000 0.099 1
Cd2 0.000 0.000 0.299 1
In1 0.000 0.000 0.500 1
Pd1 0.500 0.500 0.000 1
Pd2 0.500 0.500 0.199 1
Pd3 0.500 0.500 0.403 1
```

- formation energy (eV per atom) = -0.42
- crystal system = tetragonal
- energy (eV per cell) = -36.61
- total magnetic moment (μB/f.u.) = 0.00

---

5.
CdIn3Pd4: optimized geometry, GGA-PBE.

Geometry as CIF:
```
data_CdIn3Pd4
_chemical_formula_sum 'Cd3 In9 Pd12'
_symmetry_space_group_name_H-M 'R -3 m'
_symmetry_Int_Tables_number 166
_symmetry_space_group_name_Hall '-R 3 2"'
_cell_length_a 4.6644
_cell_length_b 4.6644
_cell_length_c 22.6925
_cell_angle_alpha 90.00
_cell_angle_beta 90.00
_cell_angle_gamma 120.00
loop_
_atom_site_label
_atom_site_fract_x
_atom_site_fract_y
_atom_site_fract_z
_atom_site_occupancy
Cd1 0.0000 0.0000 0.0000 1
In1 0.0000 0.0000 0.2531 1
In2 0.0000 0.0000 0.5000 1
Pd1 0.0000 0.0000 0.1277 1
Pd2 0.0000 0.0000 0.3775 1
```

- formation energy (eV per atom) = -0.49
- crystal system = trigonal
- energy (eV per cell) = -101.49
- total magnetic moment (μB/f.u.) = 0.00

---

6.
Cd8InPd2: optimized geometry, GGA-PBE.

Geometry as CIF:
```
data_Cd8InPd2
_chemical_formula_sum 'Cd16 In2 Pd4'
_symmetry_space_group_name_H-M 'C 1 2/m 1'
_symmetry_Int_Tables_number 12
_cell_length_a 8.491
_cell_length_b 11.262
_cell_length_c 5.106
_cell_angle_alpha 90.00
_cell_angle_beta 96.30
_cell_angle_gamma 90.00
loop_
_symmetry_equiv_pos_as_xyz
'x,y,z'
'-x,-y,-z'
'-x,y,-z'
'x,-y,z'
'x+1/2,y+1/2,z'
'-x+1/2,-y+1/2,-z'
'-x+1/2,y+1/2,-z'
'x+1/2,-y+1/2,z'
loop_
_atom_site_label
_atom_site_fract_x
_atom_site_fract_y
_atom_site_fract_z
_atom_site_occupancy
Cd1 0.000 0.237 0.000 1
Cd2 0.157 0.000 0.894 1
Cd3 0.178 0.365 0.567 1
In1 0.000 0.500 0.000 1
Pd1 0.000 0.145 0.500 1
```

- formation energy (eV per atom) = -0.11
- crystal system = monoclinic
- energy (eV per cell) = -43.31
- total magnetic moment (μB/f.u.) = 0.00

---

7.
CdIn2Pd: optimized geometry, GGA-PBE.

Geometry as CIF:
```
data_CdIn2Pd
_chemical_formula_sum 'Cd1 In2 Pd1'
_symmetry_space_group_name_H-M 'P 4/m m m'
_symmetry_Int_Tables_number 123
_symmetry_space_group_name_Hall '-P 4 2'
_cell_length_a 4.381
_cell_length_b 4.381
_cell_length_c 4.318
_cell_angle_alpha 90.00
_cell_angle_beta 90.00
_cell_angle_gamma 90.00
loop_
_atom_site_label
_atom_site_fract_x
_atom_site_fract_y
_atom_site_fract_z
_atom_site_occupancy
Cd1 0.000 0.000 0.000 1
In1 0.000 0.500 0.500 1
Pd1 0.500 0.500 0.000 1
```

- formation energy (eV per atom) = -0.11
- crystal system = tetragonal
- energy (eV per cell) = -12.04
- total magnetic moment (μB/f.u.) = 0.00

---

8.
CdIn4Pd2: optimized geometry, GGA-PBE.

Geometry as CIF:
```
data_CdIn4Pd2
_chemical_formula_sum 'Cd3 In12 Pd6'
_symmetry_space_group_name_H-M 'R -3 m'
_symmetry_Int_Tables_number 166
_symmetry_space_group_name_Hall '-R 3 2"'
_cell_length_a 4.4580
_cell_length_b 4.4580
_cell_length_c 28.4631
_cell_angle_alpha 90.00
_cell_angle_beta 90.00
_cell_angle_gamma 120.00
loop_
_atom_site_label
_atom_site_fract_x
_atom_site_fract_y
_atom_site_fract_z
_atom_site_occupancy
Cd1 0.0000 0.0000 0.0000 1
In1 0.0000 0.0000 0.1980 1
In2 0.0000 0.0000 0.3948 1
Pd1 0.0000 0.0000 0.0982 1
```

- formation energy (eV per atom) = -0.30
- crystal system = trigonal
- energy (eV per cell) = -72.98
- total magnetic moment (μB/f.u.) = 0.00

---

9.
Cd5InPd2: optimized geometry, GGA-PBE.

Geometry as CIF:
```
data_Cd5InPd2
_chemical_formula_sum 'Cd10 In2 Pd4'
_symmetry_space_group_name_H-M 'I m m m'
_symmetry_Int_Tables_number 71
_symmetry_space_group_name_Hall '-I 2 2'
_cell_length_a 4.465
_cell_length_b 8.732
_cell_length_c 8.733
_cell_angle_alpha 90.00
_cell_angle_beta 90.00
_cell_angle_gamma 90.00
loop_
_atom_site_label
_atom_site_fract_x
_atom_site_fract_y
_atom_site_fract_z
_atom_site_occupancy
Cd1 0.000 0.000 0.000 1
Cd2 0.000 0.325 0.328 1
In1 0.000 0.500 0.000 1
Pd1 0.000 0.000 0.318 1
```

- formation energy (eV per atom) = -0.21
- crystal system = orthorhombic
- energy (eV per cell) = -38.81
- total magnetic moment (μB/f.u.) = 0.00

---

10.
Cd3InPd2: optimized geometry, GGA-PBE.

Geometry as CIF:
```
data_Cd3InPd2
_chemical_formula_sum 'Cd18 In6 Pd12'
_symmetry_space_group_name_H-M 'R -3 c'
_symmetry_Int_Tables_number 167
_symmetry_space_group_name_Hall '-R 3 2"c'
_cell_length_a 6.9150
_cell_length_b 6.9150
_cell_length_c 19.2950
_cell_angle_alpha 90.00
_cell_angle_beta 90.00
_cell_angle_gamma 120.00
loop_
_atom_site_label
_atom_site_fract_x
_atom_site_fract_y
_atom_site_fract_z
_atom_site_occupancy
Cd1 0.0000 0.2614 0.2500 1
In1 0.0000 0.0000 0.0000 1
Pd1 0.0000 0.0000 0.1392 1
```

- formation energy (eV per atom) = -0.13
- crystal system = trigonal
- energy (eV per cell) = -99.84
- total magnetic moment (μB/f.u.) = 0.00